(1)
Here is LiPu2Ga3Pd4 after structural relaxation from Alexandria. Energies are from PBE.

Computed properties:
DOS at the Fermi energy: 27.4 states/eV per cell
Magnetization: 11.32 μB per formula unit
Total energy: -6.61 eV/atom
Space group: P-4m2, No. 115

Unit cell a=4.0583 b=4.0583 c=11.3982 alpha=90.00 beta=90.00 gamma=90.00
Closest atoms and distances in Å follow each position.
Fractional coordinates of all 10 atoms:
Li 0.0000 0.0000 0.0000  4 Pd 2.61, 4 Ga 2.87
Pu 0.0000 0.5000 0.7543  4 Pd 3.09, 6 Ga 3.18-3.46, 2 Li 3.46
Pu 0.5000 0.0000 0.2457  4 Pd 3.09, 6 Ga 3.18-3.46, 2 Li 3.46
Ga 0.0000 0.5000 0.3667  5 Pd 2.54
Ga 0.5000 0.0000 0.6333  5 Pd 2.54
Ga 0.5000 0.5000 0.0000  4 Pd 2.61, 4 Li 2.87
Pd 0.0000 0.0000 0.5000  4 Ga 2.54
Pd 0.0000 0.5000 0.1440  3 Ga 2.54-2.61, 2 Li 2.61
Pd 0.5000 0.0000 0.8560  3 Ga 2.54-2.61, 2 Li 2.61
Pd 0.5000 0.5000 0.5000  4 Ga 2.54

(2)
Here is Ho12NiAg6 after structural relaxation from Alexandria. Energies are from PBE.

Computed properties:
DOS at the Fermi energy: 21.3 states/eV per cell
Magnetization: 0.00 μB per formula unit
Total energy: -4.21 eV/atom
Space group: R-3, No. 148

Unit cell a=8.0285 b=8.0285 c=8.0285 alpha=93.41 beta=93.41 gamma=93.41
Closest atoms and distances in Å follow each position.
Fractional coordinates of all 19 atoms:
Ho 0.0434 0.9294 0.6992  4 Ag 3.05-3.17
Ho 0.0706 0.3008 0.9566  4 Ag 3.05-3.17
Ho 0.1871 0.4029 0.5357  1 Ni 2.62
Ho 0.3008 0.9566 0.0706  4 Ag 3.05-3.17
Ho 0.4029 0.5357 0.1871  1 Ni 2.62
Ho 0.4643 0.8129 0.5971  1 Ni 2.62
Ho 0.5357 0.1871 0.4029  1 Ni 2.62
Ho 0.5971 0.4643 0.8129  1 Ni 2.62
Ho 0.6992 0.0434 0.9294  4 Ag 3.05-3.17
Ho 0.8129 0.5971 0.4643  1 Ni 2.62
Ho 0.9294 0.6992 0.0434  4 Ag 3.05-3.17
Ho 0.9566 0.0706 0.3008  4 Ag 3.05-3.17
Ni 0.5000 0.5000 0.5000  6 Ho 2.62
Ag 0.1517 0.7601 0.3648  8 Ho 3.03-3.27
Ag 0.2399 0.6352 0.8483  8 Ho 3.03-3.27
Ag 0.3648 0.1517 0.7601  8 Ho 3.03-3.27
Ag 0.6352 0.8483 0.2399  8 Ho 3.03-3.27
Ag 0.7601 0.3648 0.1517  8 Ho 3.03-3.27
Ag 0.8483 0.2399 0.6352  8 Ho 3.03-3.27